Li4Y3MnO8 at its PBEsol-relaxed geometry, computed with meta-GGA SCAN.

Cell and atoms, written as POSCAR:
```
Li4Y3MnO8
1.0
3.0163 -5.0796 0.0000
3.0163 5.0796 0.0000
0.0000 0.0000 6.0340
Li Y Mn O
4 3 1 8
Direct
0.0000 0.0000 0.0000
0.0000 0.5000 0.2417
0.5000 0.0000 0.7583
0.5000 0.5000 0.5000
0.0000 0.0000 0.5000
0.0000 0.5000 0.7571
0.5000 0.0000 0.2429
0.5000 0.5000 0.0000
0.2163 0.7837 0.5000
0.2503 0.2837 0.7661
0.2752 0.7248 0.0000
0.2837 0.2503 0.2339
0.7163 0.7497 0.2339
0.7248 0.2752 0.0000
0.7497 0.7163 0.7661
0.7837 0.2163 0.5000
```

## Properties
M_tot = 4.00 μB per formula unit
Total energy = -12.9822 eV/atom
Crystal system = orthorhombic
E_form (uncorrected) = -2.91 eV per atom